(1)
Density functional theory data (PBE) for a relaxed CsBaS2 crystal.

The magnetization comes out at 2.000 μB/cell. The value obtained for the uncorrected formation energy is -1050 meV/atom. For the density of states at the Fermi level, the calculation gives 22.24 states/eV per cell.

a = 7.7062 Å, b = 7.7062 Å, c = 8.9030 Å
α = 64.36°, β = 64.36°, γ = 90.00°
Last column: magnetic moment on the atom in μB.
Fractional coordinates of all 8 atoms:
1 Cs 0.5000 0.5000 0.0000  0.02
2 Cs 0.2500 0.7500 0.5000  0.02
3 S 0.3750 0.3279 0.7500  0.26
4 S 0.8750 0.9221 0.7500  0.26
5 S 0.0779 0.6250 0.2500  0.27
6 S 0.6721 0.1250 0.2500  0.27
7 Ba 0.7500 0.2500 0.5000  0.00
8 Ba 0.0000 0.0000 0.0000  0.00

***

(2)
Density functional theory data (PBE) for a relaxed CsBaS2 crystal.

The magnetization comes out at 1.000 μB/cell. The value obtained for the uncorrected formation energy is -1016 meV/atom. For the density of states at the Fermi level, the calculation gives 2.83 states/eV per cell.

a = 9.6905 Å, b = 9.6905 Å, c = 9.6905 Å
α = 29.00°, β = 29.00°, γ = 29.00°
Last column: magnetic moment on the atom in μB.
Fractional coordinates of all 4 atoms:
1 Ba 0.5000 0.5000 0.5000  0.01
2 Cs 0.0000 0.0000 0.0000  0.03
3 S 0.1117 0.1117 0.1117  0.28
4 S 0.8883 0.8883 0.8883  0.28

***

(3)
Density functional theory data (PBE) for a relaxed Cs2BaS crystal.

The magnetization comes out at 1.709 μB/cell. The value obtained for the uncorrected formation energy is -6 meV/atom. For the density of states at the Fermi level, the calculation gives 4.37 states/eV per cell. For the offset from the most stable computed form, the calculation gives 478.0 meV per atom.

a = 6.4845 Å, b = 6.4845 Å, c = 6.4845 Å
α = 60.00°, β = 60.00°, γ = 60.00°
Last column: magnetic moment on the atom in μB.
Fractional coordinates of all 4 atoms:
1 Ba 0.5000 0.5000 0.5000  0.35
2 S 0.0000 0.0000 0.0000  0.00
3 Cs 0.2500 0.2500 0.2500  0.06
4 Cs 0.7500 0.7500 0.7500  0.06

***

(4)
Density functional theory data (PBE) for a relaxed Cs3BaS crystal.

The magnetization comes out at 1.000 μB/cell. The value obtained for the uncorrected formation energy is -335 meV/atom. For the density of states at the Fermi level, the calculation gives 4.21 states/eV per cell. For the offset from the most stable computed form, the calculation gives 0.0 meV per atom.

a = 6.9868 Å, b = 6.9868 Å, c = 6.9868 Å
α = 90.00°, β = 90.00°, γ = 90.00°
Last column: magnetic moment on the atom in μB.
Fractional coordinates of all 5 atoms:
1 Cs 0.0000 0.5000 0.0000  0.01
2 Cs 0.5000 0.0000 0.0000  0.01
3 Cs 0.0000 0.0000 0.5000  0.01
4 Ba 0.5000 0.5000 0.5000  0.15
5 S 0.0000 0.0000 0.0000  0.01

***

(5)
Density functional theory data (PBE) for a relaxed Cs2BaS8 crystal.

The magnetization comes out at 0.000 μB/cell. The value obtained for the uncorrected formation energy is -712 meV/atom. For the density of states at the Fermi level, the calculation gives 4.17 states/eV per cell.

a = 5.4099 Å, b = 7.5716 Å, c = 11.3290 Å
α = 66.20°, β = 67.37°, γ = 62.89°
Fractional coordinates of all 11 atoms:
1 Cs 0.4711 0.6784 0.6652
2 Cs 0.5289 0.3216 0.3348
3 S 0.2309 0.8738 0.3289
4 S 0.6932 0.8973 0.8444
5 S 0.3019 0.5008 0.0163
6 S 0.7691 0.1262 0.6711
7 S 0.6981 0.4992 0.9837
8 S 0.3068 0.1027 0.1556
9 S 0.0805 0.2074 0.6732
10 S 0.9195 0.7926 0.3268
11 Ba 0.0000 0.0000 0.0000

***

(6)
Density functional theory data (PBE) for a relaxed Cs2BaSbS4 crystal.

The magnetization comes out at 0.001 μB/cell. The value obtained for the uncorrected formation energy is -871 meV/atom. For the density of states at the Fermi level, the calculation gives 9.79 states/eV per cell.

a = 7.3301 Å, b = 8.4411 Å, c = 14.6777 Å
α = 83.78°, β = 75.54°, γ = 64.27°
Fractional coordinates of all 16 atoms:
1 Cs 0.1941 0.0000 0.6119
2 Cs 0.5559 0.5000 0.8881
3 Cs 0.9441 0.5000 0.1119
4 Cs 0.8059 0.0000 0.3881
5 S 0.2404 0.2083 0.9101
6 S 0.5096 0.2917 0.5899
7 S 0.5513 0.2083 0.0899
8 S 0.8495 0.7917 0.9101
9 S 0.1987 0.2917 0.4101
10 S 0.9005 0.7083 0.5899
11 S 0.3912 0.7083 0.4101
12 S 0.3588 0.7917 0.0899
13 Sb 0.5000 0.0000 0.0000
14 Sb 0.2500 0.5000 0.5000
15 Ba 0.0000 0.0000 0.0000
16 Ba 0.7500 0.5000 0.5000

***

(7)
Density functional theory data (PBE) for a relaxed CsBa2SbS4 crystal.

The magnetization comes out at 0.000 μB/cell. The value obtained for the uncorrected formation energy is -1176 meV/atom.

a = 9.0084 Å, b = 9.0084 Å, c = 8.8533 Å
α = 119.43°, β = 119.43°, γ = 90.45°
Fractional coordinates of all 16 atoms:
1 S 0.2564 0.2436 0.0154
2 S 0.2564 0.2436 0.4846
3 S 0.6985 0.2656 0.4821
4 S 0.3015 0.7344 0.5179
5 S 0.7436 0.7564 0.9846
6 S 0.2344 0.8015 0.0179
7 S 0.7656 0.1985 0.9821
8 S 0.7436 0.7564 0.5154
9 Ba 0.5000 0.0000 0.0000
10 Ba 0.5000 0.5000 0.0000
11 Ba 0.5000 0.0000 0.5000
12 Ba 0.0000 0.0000 0.5000
13 Sb 0.5000 0.5000 0.5000
14 Sb 0.0000 0.0000 0.0000
15 Cs 0.0000 0.5000 0.5000
16 Cs 0.0000 0.5000 0.0000

***

(8)
Density functional theory data (PBE) for a relaxed CsBa2SbS crystal.

The magnetization comes out at 0.008 μB/cell. The value obtained for the uncorrected formation energy is 215 meV/atom. For the density of states at the Fermi level, the calculation gives 3.13 states/eV per cell.

a = 6.6978 Å, b = 5.4155 Å, c = 6.6978 Å
α = 90.00°, β = 90.00°, γ = 90.00°
Fractional coordinates of all 5 atoms:
1 Cs 0.0000 0.0000 0.0000
2 Ba 0.5000 0.0000 0.0000
3 Ba 0.0000 0.0000 0.5000
4 S 0.0000 0.5000 0.0000
5 Sb 0.5000 0.5000 0.5000

***

(9)
Density functional theory data (PBE) for a relaxed CsBaSeS2 crystal.

The magnetization comes out at 3.000 μB/cell. The value obtained for the uncorrected formation energy is -495 meV/atom. For the density of states at the Fermi level, the calculation gives 3.39 states/eV per cell.

a = 6.0802 Å, b = 6.3264 Å, c = 6.0802 Å
α = 90.00°, β = 90.00°, γ = 90.00°
Last column: magnetic moment on the atom in μB.
Fractional coordinates of all 5 atoms:
1 S 0.0000 0.0000 0.5000  0.65
2 S 0.5000 0.0000 0.0000  0.50
3 Se 0.0000 0.5000 0.0000  0.60
4 Cs 0.5000 0.5000 0.5000  0.00
5 Ba 0.0000 0.0000 0.0000  0.00

***

(10)
Density functional theory data (PBE) for a relaxed Cs2BaSiS4 crystal.

The magnetization comes out at 0.000 μB/cell. The value obtained for the uncorrected formation energy is -1167 meV/atom. For the density of states at the Fermi level, the calculation gives 0.00 states/eV per cell.

a = 7.0129 Å, b = 7.8523 Å, c = 14.9980 Å
α = 84.01°, β = 76.48°, γ = 63.48°
Fractional coordinates of all 16 atoms:
1 Ba 0.7500 0.5000 0.5000
2 Ba 0.0000 0.0000 0.0000
3 Cs 0.5585 0.5000 0.8830
4 Cs 0.1915 0.0000 0.6170
5 Cs 0.9415 0.5000 0.1170
6 Cs 0.8085 0.0000 0.3830
7 S 0.5299 0.1884 0.0858
8 S 0.8041 0.8116 0.9142
9 S 0.2817 0.1884 0.9142
10 S 0.3843 0.8116 0.0858
11 S 0.4683 0.3116 0.5858
12 S 0.2201 0.3116 0.4142
13 S 0.3657 0.6884 0.4142
14 S 0.9459 0.6884 0.5858
15 Si 0.2500 0.5000 0.5000
16 Si 0.5000 0.0000 0.0000

***

(11)
Density functional theory data (PBE) for a relaxed Cs2BaSnS4 crystal.

The magnetization comes out at 0.000 μB/cell. The value obtained for the uncorrected formation energy is -1038 meV/atom. For the density of states at the Fermi level, the calculation gives 0.00 states/eV per cell.

a = 7.1367 Å, b = 8.2582 Å, c = 14.5444 Å
α = 83.91°, β = 75.80°, γ = 64.40°
Fractional coordinates of all 16 atoms:
1 Ba 0.0000 0.0000 0.0000
2 Ba 0.7500 0.5000 0.5000
3 S 0.9093 0.7051 0.5940
4 S 0.5417 0.2051 0.0940
5 S 0.2083 0.2949 0.4060
6 S 0.4968 0.2949 0.5940
7 S 0.3856 0.7051 0.4060
8 S 0.2532 0.2051 0.9060
9 S 0.8407 0.7949 0.9060
10 S 0.3644 0.7949 0.0940
11 Cs 0.9418 0.5000 0.1163
12 Cs 0.5582 0.5000 0.8837
13 Cs 0.8082 0.0000 0.3837
14 Cs 0.1918 0.0000 0.6163
15 Sn 0.5000 0.0000 0.0000
16 Sn 0.2500 0.5000 0.5000

***

(12)
Density functional theory data (PBE) for a relaxed Cs2BaTa2S7 crystal.

The magnetization comes out at 0.000 μB/cell. The value obtained for the uncorrected formation energy is -1233 meV/atom. For the density of states at the Fermi level, the calculation gives 0.00 states/eV per cell.

a = 7.3007 Å, b = 7.3007 Å, c = 10.9391 Å
α = 70.51°, β = 70.51°, γ = 60.00°
Fractional coordinates of all 12 atoms:
1 Ba 0.5000 0.5000 0.5000
2 S 0.0000 0.0000 0.0000
3 S 0.2115 0.8731 0.2955
4 S 0.3800 0.1269 0.7045
5 S 0.7885 0.3800 0.7045
6 S 0.1269 0.7885 0.7045
7 S 0.6200 0.2115 0.2955
8 S 0.8731 0.6200 0.2955
9 Cs 0.3073 0.3073 0.0782
10 Cs 0.6927 0.6927 0.9218
11 Ta 0.0774 0.0774 0.7676
12 Ta 0.9226 0.9226 0.2324